Entry from Alexandria: a relaxed CsBaSc2 crystal (GGA-PBE).

Computed properties:
- Fermi-level density of states (states/eV/atom) = 1.428
- space-group type = No. 225
- M_tot (μB/cell) = 1.74
- ΔH_f (0 K) (eV per atom) = 0.8571
- crystal system = cubic

```
data_CsBaSc2
_cell_length_a 6.1757
_cell_length_b 6.1757
_cell_length_c 6.1757
_cell_angle_alpha 60.00
_cell_angle_beta 60.00
_cell_angle_gamma 60.00
_symmetry_space_group_name_H-M 'P 1'
_symmetry_Int_Tables_number 1
_symmetry_space_group_name_Hall 'P 1'
loop_
_atom_site_label
_atom_site_fract_x
_atom_site_fract_y
_atom_site_fract_z
_atom_site_occupancy
Cs1 0.0000 0.0000 0.0000 1
Ba1 0.5000 0.5000 0.5000 1
Sc1 0.2500 0.2500 0.2500 1
Sc2 0.7500 0.7500 0.7500 1
```



Entry from Alexandria: a relaxed Cs2BaSc crystal (GGA-PBE).

Computed properties:
- Fermi-level density of states (states/eV/atom) = 1.092
- space-group type = No. 225
- M_tot (μB/cell) = 2.58
- ΔH_f (0 K) (eV per atom) = 0.7049
- crystal system = cubic

```
data_Cs2BaSc
_cell_length_a 7.0263
_cell_length_b 7.0263
_cell_length_c 7.0263
_cell_angle_alpha 60.00
_cell_angle_beta 60.00
_cell_angle_gamma 60.00
_symmetry_space_group_name_H-M 'P 1'
_symmetry_Int_Tables_number 1
_symmetry_space_group_name_Hall 'P 1'
loop_
_atom_site_label
_atom_site_fract_x
_atom_site_fract_y
_atom_site_fract_z
_atom_site_occupancy
Cs1 0.2500 0.2500 0.2500 1
Cs2 0.7500 0.7500 0.7500 1
Ba1 0.0000 0.0000 0.0000 1
Sc1 0.5000 0.5000 0.5000 1
```



Entry from Alexandria: a relaxed CsBaSc2 crystal (GGA-PBE).

Computed properties:
- Fermi-level density of states (states/eV/atom) = 1.826
- space-group type = No. 166
- M_tot (μB/cell) = 0.00
- ΔH_f (0 K) (eV per atom) = 0.6635
- crystal system = trigonal

```
data_CsBaSc2
_cell_length_a 13.3930
_cell_length_b 13.3930
_cell_length_c 13.3930
_cell_angle_alpha 15.53
_cell_angle_beta 15.53
_cell_angle_gamma 15.53
_symmetry_space_group_name_H-M 'P 1'
_symmetry_Int_Tables_number 1
_symmetry_space_group_name_Hall 'P 1'
loop_
_atom_site_label
_atom_site_fract_x
_atom_site_fract_y
_atom_site_fract_z
_atom_site_occupancy
Cs1 0.0000 0.0000 0.0000 1
Ba1 0.5000 0.5000 0.5000 1
Sc1 0.0895 0.0895 0.0895 1
Sc2 0.9105 0.9105 0.9105 1
```



Entry from Alexandria: a relaxed CsBaSc2 crystal (GGA-PBE).

Computed properties:
- Fermi-level density of states (states/eV/atom) = 1.430
- space-group type = No. 122
- M_tot (μB/cell) = 2.19
- ΔH_f (0 K) (eV per atom) = 0.9380
- crystal system = tetragonal

```
data_CsBaSc2
_cell_length_a 7.6476
_cell_length_b 7.6476
_cell_length_c 7.6476
_cell_angle_alpha 101.52
_cell_angle_beta 101.52
_cell_angle_gamma 126.90
_symmetry_space_group_name_H-M 'P 1'
_symmetry_Int_Tables_number 1
_symmetry_space_group_name_Hall 'P 1'
loop_
_atom_site_label
_atom_site_fract_x
_atom_site_fract_y
_atom_site_fract_z
_atom_site_occupancy
Cs1 0.0000 0.0000 0.0000 1
Cs2 0.7500 0.2500 0.5000 1
Ba1 0.2500 0.7500 0.5000 1
Ba2 0.5000 0.5000 0.0000 1
Sc1 0.1095 0.6250 0.9845 1
Sc2 0.3750 0.3595 0.4845 1
Sc3 0.6405 0.1250 0.0155 1
Sc4 0.8750 0.8905 0.5155 1
```